Here is a relaxed structure of Nd3Ho7Tl2 from the Alexandria database. Energies are from PBE.

Unit cell a=3.621 b=5.698 c=18.442 alpha=93.45 beta=90.00 gamma=90.00
Fractional coordinates of all 12 atoms:
Nd  0.500  0.500  0.000
Nd  0.000  0.225  0.366
Nd  0.000  0.775  0.634
Ho  0.500  0.741  0.458
Ho  0.500  0.259  0.542
Ho  0.000  0.676  0.150
Ho  0.000  0.000  0.000
Ho  0.000  0.324  0.850
Ho  0.500  0.822  0.832
Ho  0.500  0.178  0.168
Tl  0.500  0.708  0.291
Tl  0.500  0.292  0.709

Summary:
Its space group is P2/m (10).

---

Here is a relaxed structure of Nd3Ho4Tl4 from the Alexandria database. Energies are from PBE.

Unit cell a=3.837 b=9.819 c=10.466 alpha=117.97 beta=100.56 gamma=90.00
Last column: magnetic moment on the atom in μB.
Fractional coordinates of all 11 atoms:
Nd  0.103  0.103  0.206  0.10
Nd  0.897  0.897  0.794  0.10
Nd  0.000  0.500  0.000  0.02
Ho  0.332  0.130  0.665  0.18
Ho  0.668  0.466  0.335  0.18
Ho  0.668  0.870  0.335  0.18
Ho  0.332  0.534  0.665  0.18
Tl  0.251  0.751  0.502  0.00
Tl  0.749  0.249  0.498  0.00
Tl  0.500  0.780  0.000  -0.01
Tl  0.500  0.220  0.000  -0.01

Summary:
Its space group is Immm (71).

---

Number 1: calculated total energy -4.29 eV/atom. Number 2: calculated total energy -4.06 eV/atom.